Entry 1:
Here is a relaxed Dy4HoEr3 crystal from Alexandria via LeMat-Bulk. Energies are from PBE-GGA.

DFT formation energy: 0.0 eV/f.u.
M_tot: 0.00 μB/cell
Uncorrected energy: -73.3 eV per cell

abc: 11.1374 7.2084 6.2323
angles: 90.00 90.00 90.00
With the nearest neighbours (Å) after each atom.
Space group Pmn2_1 (No. 31)
Asymmetric unit:
Dy  0.0000  0.1262  0.0000  4 Er 3.48-3.62, 6 Dy 3.48-3.61, 2 Ho 3.60
Dy  0.0000  0.8745  0.4991  6 Dy 3.47-3.61, 4 Er 3.48-3.60, 2 Ho 3.59-3.61
Dy  0.2504  0.1257  0.3330  6 Dy 3.47-3.61, 5 Er 3.47-3.62, 1 Ho 3.48
Ho  0.0000  0.3759  0.5001  6 Er 3.47-3.60, 6 Dy 3.48-3.61
Er  0.0000  0.6242  0.9998  4 Er 3.47, 6 Dy 3.47-3.62, 2 Ho 3.59-3.60
Er  0.2501  0.3759  0.8328  2 Ho 3.47, 4 Er 3.47-3.59, 6 Dy 3.48-3.62



Entry 2:
Here is a relaxed Be2InHg crystal from Alexandria via LeMat-Bulk. Energies are from PBE-GGA.

DFT formation energy: 2.8 eV/f.u.
M_tot: 0.00 μB/cell
Uncorrected energy: -30.6 eV per cell

abc: 6.7105 6.7105 6.6898
angles: 90.00 90.00 90.00
With the nearest neighbours (Å) after each atom.
Space group I-42d (No. 122)
Asymmetric unit:
Be  0.2329  0.2500  0.1250  2 Hg 2.44, 2 In 2.59
In  0.0000  0.0000  0.5000  4 Be 2.59
Hg  0.0000  0.0000  0.0000  4 Be 2.44



Entry 3:
Here is a relaxed LuCoNiSn crystal from Alexandria via LeMat-Bulk. Energies are from PBE-GGA.

DFT formation energy: -1.6 eV/f.u.
M_tot: 1.05 μB/cell
Uncorrected energy: -91.9 eV per cell

abc: 6.3708 6.3708 6.3708
angles: 90.00 90.00 90.00
With the nearest neighbours (Å) after each atom.
Space group F-43m (No. 216)
Asymmetric unit:
Lu  0.0000  0.0000  0.0000  4 Co 2.76, 4 Ni 2.76
Co  0.2500  0.2500  0.2500  4 Sn 2.76, 4 Lu 2.76
Ni  0.2500  0.2500  0.7500  4 Sn 2.76, 4 Lu 2.76
Sn  0.0000  0.0000  0.5000  4 Co 2.76, 4 Ni 2.76



Entry 4:
Here is a relaxed TbSiRh2 crystal from Alexandria via LeMat-Bulk. Energies are from PBE-GGA.

Uncorrected formation energy: -348.4 kJ/mol of formula units
M_tot: 0.00 μB/cell
Uncorrected energy: -56.7 eV per cell

abc: 3.9398 3.9398 9.3191
angles: 90.00 90.00 90.00
With the nearest neighbours (Å) after each atom.
Space group P4/nmm (No. 129, origin choice 2)
Asymmetric unit:
Tb  0.2500  0.2500  0.2061  5 Rh 2.89-2.94, 4 Si 3.11
Si  0.2500  0.2500  0.6451  5 Rh 2.33-2.39
Rh  0.2500  0.2500  0.8955  1 Si 2.33
Rh  0.2500  0.7500  0.5000  4 Si 2.39



Entry 5:
Here is a relaxed TlCo2Pt crystal from Alexandria via LeMat-Bulk. Energies are from PBE-GGA.

DFT formation energy: 2.1 eV/f.u.
M_tot: 14.43 μB/cell
Uncorrected energy: -81.9 eV per cell

abc: 3.8999 3.8999 18.4312
angles: 90.00 90.00 90.00
With the nearest neighbours (Å) after each atom.
Space group I-42d (No. 122)
Asymmetric unit:
Tl  0.0000  0.0000  0.0000  4 Pt 2.76, 4 Co 2.83
Co  0.1582  0.2500  0.6250  2 Co 2.31, 2 Pt 2.58
Pt  0.0000  0.0000  0.5000  4 Co 2.58, 4 Tl 2.76



Entry 6:
Here is a relaxed Er3NpTl4Se8 crystal from Alexandria via LeMat-Bulk. Energies are from PBE-GGA.

Uncorrected formation energy: -1931.6 kJ/mol of formula units
M_tot: 12.00 μB/cell
Uncorrected energy: -252.0 eV per cell

abc: 8.3499 8.3499 23.3029
angles: 90.00 90.00 120.00
With the nearest neighbours (Å) after each atom.
Space group R-3m (No. 166, hexagonal axes)
Asymmetric unit:
Er  0.0000  0.5000  0.0000  6 Se 2.87-2.88
Np  0.0000  0.0000  0.0000  6 Se 2.91
Tl  0.0000  0.0000  0.5000  6 Se 3.31
Tl  0.0000  0.5000  0.5000  6 Se 3.34-3.35
Se  0.0000  0.0000  0.2661  3 Er 2.88
Se  0.0050  0.5025  0.2655  2 Er 2.87, 1 Np 2.91



Entry 7:
Here is a relaxed Sc4CdPb crystal from Alexandria via LeMat-Bulk. Energies are from PBE-GGA.

DFT formation energy: 0.8 eV/f.u.
M_tot: 0.01 μB/cell
Uncorrected energy: -116.7 eV per cell

abc: 8.4131 8.4131 8.4131
angles: 90.00 90.00 90.00
With the nearest neighbours (Å) after each atom.
Space group F-43m (No. 216)
Asymmetric unit:
Sc  0.1250  0.1250  0.1250  6 Sc 2.97-2.98
Cd  0.2500  0.2500  0.7500  12 Sc 3.49, 4 Pb 3.64
Pb  0.0000  0.0000  0.5000  12 Sc 3.49, 4 Cd 3.64



Entry 8:
Here is a relaxed TePIrPt crystal from Alexandria via LeMat-Bulk. Energies are from PBE-GGA.

Uncorrected formation energy: -111.0 kJ/mol of formula units
M_tot: 0.00 μB/cell
Uncorrected energy: -24.6 eV per cell

abc: 4.3187 3.6902 5.3622
angles: 90.00 99.34 90.00
With the nearest neighbours (Å) after each atom.
Space group Pm (No. 6)
Asymmetric unit:
Te  0.0000  0.0000  0.0000  2 Ir 2.57, 2 Pt 2.72-2.75
P  0.6097  0.5000  0.4764  2 Ir 2.27-2.29, 2 Pt 2.33
Ir  0.0794  0.5000  0.3390  2 P 2.27-2.29
Pt  0.4400  0.0000  0.6817  2 P 2.33



Entry 9:
Here is a relaxed Sr2ZnSb crystal from Alexandria via LeMat-Bulk. Energies are from PBE-GGA.

Uncorrected formation energy: -197.9 kJ/mol of formula units
M_tot: 0.00 μB/cell
Uncorrected energy: -21.6 eV per cell

abc: 4.3363 4.9193 12.3180
angles: 90.00 90.00 90.00
With the nearest neighbours (Å) after each atom.
Space group Imm2 (No. 44)
Asymmetric unit:
Sr  0.0000  0.0000  0.0000  4 Zn 3.35, 2 Sb 3.60
Sr  0.0000  0.5000  0.2344  4 Sb 3.34, 2 Zn 3.58
Zn  0.0000  0.0000  0.4455  2 Sb 2.92
Sb  0.0000  0.5000  0.7865  2 Zn 2.92



Entry 10:
Here is a relaxed BeIn2Br crystal from Alexandria via LeMat-Bulk. Energies are from PBE-GGA.

Uncorrected formation energy: 60.2 kJ/mol of formula units
M_tot: 3.93 μB/cell
Uncorrected energy: -41.0 eV per cell

abc: 6.2046 6.2046 12.8557
angles: 90.00 90.00 90.00
With the nearest neighbours (Å) after each atom.
Space group I-42d (No. 122)
Asymmetric unit:
Be  0.0000  0.0000  0.0000  4 In 2.43
In  0.1556  0.2500  0.1250  2 Be 2.43
Br  0.0000  0.0000  0.5000  4 In 3.09



Entry 11:
Here is a relaxed TaInRe2 crystal from Alexandria via LeMat-Bulk. Energies are from PBE-GGA.

DFT formation energy: 1.4 eV/f.u.
M_tot: 0.00 μB/cell
Uncorrected energy: -114.4 eV per cell

abc: 3.0396 3.0396 26.3652
angles: 90.00 90.00 120.00
With the nearest neighbours (Å) after each atom.
Space group R-3m (No. 166, hexagonal axes)
Asymmetric unit:
Ta  0.0000  0.0000  0.0000  6 Re 2.69
In  0.0000  0.0000  0.5000  6 Re 2.93, 6 In 3.04
Re  0.0000  0.0000  0.2558  3 Ta 2.69, 3 In 2.93



Entry 12:
Here is a relaxed PrMgScAg crystal from Alexandria via LeMat-Bulk. Energies are from PBE-GGA.

DFT formation energy: -0.4 eV/f.u.
M_tot: 0.05 μB/cell
Uncorrected energy: -63.7 eV per cell

abc: 7.3774 7.3774 7.3774
angles: 90.00 90.00 90.00
With the nearest neighbours (Å) after each atom.
Space group F-43m (No. 216)
Asymmetric unit:
Pr  0.0000  0.0000  0.0000  4 Mg 3.19, 4 Ag 3.19
Mg  0.2500  0.2500  0.7500  4 Pr 3.19, 4 Sc 3.19
Sc  0.0000  0.0000  0.5000  4 Mg 3.19, 4 Ag 3.19
Ag  0.2500  0.2500  0.2500  4 Pr 3.19, 4 Sc 3.19